! LiPr2ErSe5 (GGA-PBE, relaxed); values from VASP
! E = -98.6 eV/cell
! theoretical density = 6.284 g cm⁻³
! magnetization = 0.00 μB/atom
! SG = Cmc2_1, No. 36
&SYSTEM
  ibrav = 0, nat = 18, ntyp = 4
/
ATOMIC_SPECIES
Li 6.94 Li.upf
Pr 140.91 Pr.upf
Er 167.26 Er.upf
Se 78.96 Se.upf
CELL_PARAMETERS angstrom
2.078 -8.673 0.000
2.078 8.673 0.000
0.000 0.000 12.475
ATOMIC_POSITIONS angstrom
Li 2.078 8.423 6.237
Li 2.078 -8.423 0.000
Pr 2.078 2.183 3.942
Pr 2.078 1.864 8.788
Pr 2.078 -1.864 2.550
Pr 2.078 -2.183 10.179
Er 2.078 3.421 0.271
Er 2.078 -3.421 6.509
Se 2.078 8.669 3.777
Se 2.078 -8.669 10.014
Se 2.078 6.267 0.204
Se 2.078 5.333 4.548
Se 2.078 4.943 8.457
Se 2.078 0.836 1.107
Se 2.078 -0.836 7.345
Se 2.078 -4.943 2.220
Se 2.078 -5.333 10.786
Se 2.078 -6.267 6.441